# PBE Pr2AlSi3Rh4, relaxed
data_Pr2AlSi3Rh4
_symmetry_space_group_name_H-M 'P -4 m 2'
_symmetry_Int_Tables_number 115
_symmetry_space_group_name_Hall 'P -4 -2'
_cell_length_a 4.196
_cell_length_b 4.196
_cell_length_c 10.044
_cell_angle_alpha 90.00
_cell_angle_beta 90.00
_cell_angle_gamma 90.00
loop_
_atom_site_label
_atom_site_fract_x
_atom_site_fract_y
_atom_site_fract_z
Pr1 0.000 0.500 0.249
Al1 0.500 0.500 0.000
Si1 0.000 0.000 0.000
Si2 0.000 0.500 0.626
Rh1 0.000 0.000 0.500
Rh2 0.000 0.500 0.868
Rh3 0.500 0.500 0.500
# raw formation energy	-1.014	eV/atom


# PBE BiPtSN2, relaxed
data_BiPtSN2
_symmetry_space_group_name_H-M 'P 4/m m m'
_symmetry_Int_Tables_number 123
_symmetry_space_group_name_Hall '-P 4 2'
_cell_length_a 4.217
_cell_length_b 4.217
_cell_length_c 5.457
_cell_angle_alpha 90.00
_cell_angle_beta 90.00
_cell_angle_gamma 90.00
loop_
_atom_site_label
_atom_site_fract_x
_atom_site_fract_y
_atom_site_fract_z
Bi1 0.000 0.000 0.000
Pt1 0.500 0.500 0.500
S1 0.000 0.000 0.500
N1 0.000 0.500 0.000
# raw formation energy	1.991	eV/atom
# energy above the lowest structure with this stoichiometry	0.895	eV/atom